(1)
Entry from Alexandria via LeMat-Bulk: crystalline CaCd at its relaxed geometry (PBE).

It has space group Pm-3m (No. 221), with a = 3.8337 Å, b = 3.8337 Å, c = 3.8337 Å, α = 90.00°, β = 90.00° and γ = 90.00°. The asymmetric unit holds Ca at (0.0000, 0.0000, 0.0000) and Cd at (0.5000, 0.5000, 0.5000).

The formation energy comes out at -34.8 kJ per mole of atoms. The value obtained for the density of states at the Fermi level is 1.57 states/eV/f.u. Its calculated total energy is -1.82 eV/atom.

***

(2)
Entry from Alexandria via LeMat-Bulk: crystalline Nb2CdNiH at its relaxed geometry (PBE).

It has space group P4/mmm (No. 123), with a = 5.0866 Å, b = 5.0866 Å, c = 4.5733 Å, α = 90.00°, β = 90.00° and γ = 90.00°. The asymmetric unit holds Nb at (0.0000, 0.5000, 0.0000), Cd at (0.0000, 0.0000, 0.0000), Ni at (0.0000, 0.0000, 0.5000) and H at (0.5000, 0.5000, 0.5000).

The value obtained for the density of states at the Fermi level is 8.09 states/eV/f.u. The polymorph energy (0 for the lowest one) comes out at 2349 meV per atom. Its calculated total energy is -3.67 eV/atom.

***

(3)
Entry from Alexandria via LeMat-Bulk: crystalline PmHf2Al9 at its relaxed geometry (PBE).

It has space group R-3m (No. 166, hexagonal axes), with a = 5.3851 Å, b = 5.3851 Å, c = 26.2012 Å, α = 90.00°, β = 90.00° and γ = 120.00°. The asymmetric unit holds Pm at (0.0000, 0.0000, 0.0000), Hf at (0.0000, 0.0000, 0.1448), Al at (0.0000, 0.0000, 0.3343), Al at (0.0000, 0.0000, 0.5000) and Al at (0.0064, 0.5032, 0.9129).

The formation energy comes out at -28.2 kJ per mole of atoms. The value obtained for the density of states at the Fermi level is 6.79 states/eV/f.u. Its calculated total energy is -5.15 eV/atom.

***

(4)
Entry from Alexandria via LeMat-Bulk: crystalline ErSc3Pd2 at its relaxed geometry (PBE).

It has space group Ibam (No. 72), with a = 6.5429 Å, b = 13.0443 Å, c = 6.7780 Å, α = 90.00°, β = 90.00° and γ = 90.00°. The asymmetric unit holds Er at (0.0000, 0.0000, 0.0000), Sc at (0.0000, 0.2365, 0.2500), Sc at (0.0000, 0.5000, 0.2500) and Pd at (0.2042, 0.3572, 0.0000).

The formation energy comes out at -42.7 kJ per mole of atoms. The value obtained for the density of states at the Fermi level is 7.29 states/eV/f.u. The polymorph energy (0 for the lowest one) comes out at 203 meV per atom. Its calculated total energy is -6.10 eV/atom.

***

(5)
Entry from Alexandria via LeMat-Bulk: crystalline V2MoSe at its relaxed geometry (PBE).

It has space group I-42d (No. 122), with a = 6.7829 Å, b = 6.7829 Å, c = 5.4724 Å, α = 90.00°, β = 90.00° and γ = 90.00°. The asymmetric unit holds V at (0.2309, 0.2500, 0.1250), Mo at (0.0000, 0.0000, 0.5000) and Se at (0.0000, 0.0000, 0.0000).

The value obtained for the density of states at the Fermi level is 4.92 states/eV/f.u. The uncorrected formation energy comes out at 0.440 eV/atom. Its calculated total energy is -7.70 eV/atom.

***

(6)
Entry from Alexandria via LeMat-Bulk: crystalline ReTe2Os at its relaxed geometry (PBE).

It has space group F-43m (No. 216), with a = 6.7545 Å, b = 6.7545 Å, c = 6.7545 Å, α = 90.00°, β = 90.00° and γ = 90.00°. The asymmetric unit holds Re at (0.0000, 0.0000, 0.0000), Te at (0.0000, 0.0000, 0.5000), Te at (0.2500, 0.2500, 0.2500) and Os at (0.2500, 0.2500, 0.7500).

The value obtained for the density of states at the Fermi level is 4.40 states/eV/f.u. The uncorrected formation energy comes out at 1.371 eV/atom. The polymorph energy (0 for the lowest one) comes out at 968 meV per atom. Its calculated total energy is -6.12 eV/atom.